Record 1
Fe5Co3 | PBE | relaxed

Summary:
- DFT total energy (Ry/atom) = -0.58639
- formation energy (eV per atom) = -0.024
- magnetic moment (μB per atom) = 2.299
- E above lowest polymorph (meV per atom) = 36.4

Unit cell a=2.832 b=6.394 c=6.394 alpha=52.92 beta=90.00 gamma=90.00
Fractional positions:
Fe 0.000 0.000 0.000
Fe 0.000 0.247 0.247
Fe 0.000 0.747 0.747
Fe 0.500 0.127 0.623
Fe 0.500 0.623 0.127
Co 0.000 0.498 0.498
Co 0.500 0.374 0.874
Co 0.500 0.874 0.374

***

Record 2
Fe2Co3 | PBE | relaxed

Summary:
- DFT total energy (Ry/atom) = -0.53867
- formation energy (eV per atom) = 0.320
- magnetic moment (μB per atom) = 2.037
- E above lowest polymorph (meV per atom) = 346.8

Unit cell a=3.895 b=3.895 c=4.805 alpha=90.00 beta=90.00 gamma=120.00
Fractional positions:
Fe 0.333 0.667 0.337
Fe 0.667 0.333 0.663
Co 0.000 0.000 0.500
Co 0.333 0.667 0.851
Co 0.667 0.333 0.149